(1)
Entry from Alexandria: NdBeAl after structural relaxation (PBE-GGA).

Properties
relative energy among the computed polymorphs = 0.620 eV per formula unit
E_form = 0.03 eV per atom
DOS at the Fermi energy = 2.39 states/eV/f.u.
space-group type = Cmcm, No. 63
electronic total energy = -4.049 eV/atom

a = 3.669 Å, b = 4.436 Å, c = 8.013 Å
α = 73.93°, β = 90.00°, γ = 90.00°
Positions (direct):
Be  0.750  0.540  0.919
Be  0.250  0.460  0.081
Nd  0.750  0.902  0.196
Nd  0.250  0.098  0.804
Al  0.750  0.703  0.594
Al  0.250  0.297  0.406

---

(2)
Entry from Alexandria: NdBeAl2Os2 after structural relaxation (PBE-GGA).

Properties
E_form = -0.35 eV per atom
DOS at the Fermi energy = 2.02 states/eV/f.u.
space-group type = P4/mmm, No. 123
electronic total energy = -6.759 eV/atom

a = 4.342 Å, b = 4.342 Å, c = 5.501 Å
α = 90.00°, β = 90.00°, γ = 90.00°
Positions (direct):
Nd  0.000  0.000  0.500
Al  0.500  0.500  0.251
Al  0.500  0.500  0.749
Os  0.000  0.500  0.000
Os  0.500  0.000  0.000
Be  0.000  0.000  0.000